Compound: AgBAsS2
Source: Alexandria via LeMat-Bulk
Functional: meta-GGA SCAN
Structure: single point on PBEsol structure

Summary:
Space-group type: P4/mmm, No. 123
Formation energy without anion corrections (eV/f.u.): 6.40
M_tot (μB/cell): 0.0

Cell lengths 4.873, 4.873, 3.968 Å; angles 90.00, 90.00, 90.00 degrees
Element x y z (fractional)
Ag 0.000 0.000 0.000
B 0.000 0.000 0.500
As 0.500 0.500 0.500
S 0.000 0.500 0.000
S 0.500 0.000 0.000

=====

Compound: AgBAs2Se
Source: Alexandria via LeMat-Bulk
Functional: meta-GGA SCAN
Structure: single point on PBEsol structure

Summary:
Space-group type: P4/mmm, No. 123
Formation energy without anion corrections (eV/f.u.): 8.62
M_tot (μB/cell): 0.7

Cell lengths 4.874, 4.874, 5.070 Å; angles 90.00, 90.00, 90.00 degrees
Element x y z (fractional)
Ag 0.000 0.000 0.000
B 0.500 0.500 0.500
As 0.000 0.500 0.000
As 0.500 0.000 0.000
Se 0.000 0.000 0.500

=====

Compound: BaAgAs2
Source: Alexandria via LeMat-Bulk
Functional: meta-GGA SCAN
Structure: single point on PBEsol structure

Summary:
Space-group type: Imm2, No. 44
DFT formation energy (eV per atom): -0.295
M_tot (μB/cell): 0.0

Cell lengths 5.888, 5.888, 5.888 Å; angles 143.15, 124.83, 68.20 degrees
Element x y z (fractional)
Ba 0.000 0.000 0.000
Ag 0.302 0.802 0.500
As 0.524 0.524 0.000
As 0.709 0.209 0.500

=====

Compound: Ba2Ag2As
Source: Alexandria via LeMat-Bulk
Functional: meta-GGA SCAN
Structure: single point on PBEsol structure

Summary:
Space-group type: I4/mmm, No. 139
DFT formation energy (eV per atom): -0.559
Polymorph energy (0 for the lowest one) (meV/atom): 0
M_tot (μB/cell): 0.0

Cell lengths 9.623, 9.623, 9.623 Å; angles 156.23, 156.23, 33.86 degrees
Element x y z (fractional)
Ba 0.095 0.095 0.000
Ba 0.905 0.905 0.000
Ag 0.250 0.750 0.500
Ag 0.750 0.250 0.500
As 0.500 0.500 0.000

=====

Compound: BaAg2As2
Source: Alexandria via LeMat-Bulk
Functional: meta-GGA SCAN
Structure: single point on PBEsol structure

Summary:
Space-group type: I4/mmm, No. 139
DFT formation energy (eV per atom): -0.554
M_tot (μB/cell): 0.0

Cell lengths 6.450, 6.450, 6.450 Å; angles 139.27, 139.27, 58.96 degrees
Element x y z (fractional)
Ba 0.000 0.000 0.000
Ag 0.250 0.750 0.500
Ag 0.750 0.250 0.500
As 0.383 0.383 0.000
As 0.617 0.617 0.000

=====

Compound: BaAgAs
Source: Alexandria via LeMat-Bulk
Functional: meta-GGA SCAN
Structure: single point on PBEsol structure

Summary:
Space-group type: P-6m2, No. 187
DFT formation energy (eV per atom): -0.877
M_tot (μB/cell): 0.0

Cell lengths 4.532, 4.532, 4.566 Å; angles 90.00, 90.00, 120.00 degrees
Element x y z (fractional)
Ba 0.000 0.000 0.000
Ag 0.333 0.667 0.500
As 0.667 0.333 0.500

=====

Compound: Ba2AgAs2
Source: Alexandria via LeMat-Bulk
Functional: meta-GGA SCAN
Structure: single point on PBEsol structure

Summary:
Space-group type: I4/mmm, No. 139
DFT formation energy (eV per atom): -0.489
M_tot (μB/cell): 0.0

Cell lengths 9.891, 9.891, 9.891 Å; angles 156.68, 156.68, 33.22 degrees
Element x y z (fractional)
Ba 0.113 0.113 0.000
Ba 0.887 0.887 0.000
Ag 0.500 0.500 0.000
As 0.250 0.750 0.500
As 0.750 0.250 0.500

=====

Compound: Ba2Ag2As
Source: Alexandria via LeMat-Bulk
Functional: meta-GGA SCAN
Structure: single point on PBEsol structure

Summary:
Space-group type: I4/mmm, No. 139
DFT formation energy (eV per atom): -0.380
Polymorph energy (0 for the lowest one) (meV/atom): 179
M_tot (μB/cell): 0.0

Cell lengths 5.906, 5.906, 5.906 Å; angles 115.57, 115.57, 97.86 degrees
Element x y z (fractional)
Ba 0.250 0.750 0.500
Ba 0.750 0.250 0.500
Ag 0.165 0.165 0.000
Ag 0.835 0.835 0.000
As 0.500 0.500 0.000

=====

Repeat the third record exactly.
Compound: BaAgAs2
Source: Alexandria via LeMat-Bulk
Functional: meta-GGA SCAN
Structure: single point on PBEsol structure

Summary:
Space-group type: Imm2, No. 44
DFT formation energy (eV per atom): -0.295
M_tot (μB/cell): 0.0

Cell lengths 5.888, 5.888, 5.888 Å; angles 143.15, 124.83, 68.20 degrees
Element x y z (fractional)
Ba 0.000 0.000 0.000
Ag 0.302 0.802 0.500
As 0.524 0.524 0.000
As 0.709 0.209 0.500

=====

Which formula does entry 1 have? AgBAsS2